The following is a DFT calculation (PBE) of a geometry-optimized Zn3Pd3Pt2 structure.

POSCAR file:
```
Zn3Pd3Pt2
1.0
-1.432 1.394 -3.029
-2.892 -2.903 0.031
-2.551 5.497 5.908
Zn Pt Pd
3 2 3
Cartesian
-5.678 2.783 1.791
-1.446 -1.452 0.016
-1.197 1.204 1.120
-3.023 3.018 0.644
-3.852 0.969 2.267
-3.305 0.396 -0.429
-3.570 3.591 3.340
-0.716 0.697 -1.515
```

The formation energy from the elements is -429 meV per atom. For the density of states at the Fermi level, the calculation gives 2.855 states/eV per cell. Its symmetry is Immm (71).



The following is a DFT calculation (PBE) of a geometry-optimized CaAgC2 structure.

POSCAR file:
```
CaAgC2
1.0
4.100 0.000 0.000
0.000 4.100 0.000
2.050 2.050 7.483
Ag C Ca
2 4 2
Cartesian
0.000 0.000 0.000
4.100 2.050 3.741
5.125 2.049 5.612
4.100 3.075 1.871
4.099 1.025 1.871
3.075 2.051 5.612
2.050 4.100 3.741
2.050 2.050 0.000
```

The formation energy from the elements is 1456 meV per atom. For the density of states at the Fermi level, the calculation gives 4.129 states/eV per cell. Its symmetry is I4_1/amd (141).



The following is a DFT calculation (PBE) of a geometry-optimized KPb structure.

POSCAR file:
```
KPb
1.0
-0.387 -7.853 -1.108
5.938 0.449 -5.253
5.258 -1.085 5.851
K Pb
4 4
Cartesian
5.478 -5.824 -3.308
5.138 -6.591 2.244
2.702 -2.122 -0.128
8.300 -2.440 0.171
2.436 -4.469 2.371
0.000 0.000 0.000
2.775 -3.702 -3.181
5.598 -0.318 0.299
```

The formation energy from the elements is 746 meV per atom. For the density of states at the Fermi level, the calculation gives 12.257 states/eV per cell. Its symmetry is F-43m (216).



The following is a DFT calculation (PBE) of a geometry-optimized CePrTl structure.

POSCAR file:
```
CePrTl
1.0
3.342 0.000 0.000
0.000 5.431 0.000
0.000 -2.716 4.704
Tl Pr Ce
1 1 1
Cartesian
2.232 2.716 1.568
0.543 0.000 3.136
0.567 0.000 0.000
```

The formation energy from the elements is -22 meV per atom. For the density of states at the Fermi level, the calculation gives 6.496 states/eV per cell. Its symmetry is P3m1 (156).



The following is a DFT calculation (PBE) of a geometry-optimized Mg2NCl structure.

POSCAR file:
```
Mg2NCl
1.0
-1.751 -2.852 1.222
1.786 -2.976 0.804
0.859 0.300 7.125
Cl Mg N
1 2 1
Cartesian
-0.382 -2.450 5.898
1.206 -2.007 4.011
-0.853 -1.735 1.710
0.967 -2.645 2.190
```

The value obtained for the total energy is -16.92 eV for the cell shown. Its symmetry is Cm (8).



The following is a DFT calculation (PBE) of a geometry-optimized ZrGa2Pt2 structure.

POSCAR file:
```
ZrGa2Pt2
1.0
7.624 0.000 0.000
0.000 7.624 0.000
0.000 0.000 2.913
Pt Ga Zr
4 4 2
Cartesian
4.833 1.021 0.000
2.791 6.603 0.000
1.021 2.791 0.000
6.603 4.833 0.000
5.057 6.379 1.457
6.379 2.567 1.457
1.245 5.057 1.457
2.567 1.245 1.457
3.812 3.812 0.000
0.000 0.000 0.000
```

The formation energy from the elements is -589 meV per atom. For the density of states at the Fermi level, the calculation gives 8.160 states/eV per cell. Its symmetry is P4/mbm (127).



The following is a DFT calculation (PBE) of a geometry-optimized HoTm2Ga structure.

POSCAR file:
```
HoTm2Ga
1.0
3.480 0.000 0.000
0.000 3.480 0.000
0.000 0.000 8.768
Tm Ga Ho
2 1 1
Cartesian
0.000 0.000 6.928
0.000 0.000 1.841
1.740 1.740 0.000
1.740 1.740 4.384
```

The formation energy from the elements is -286 meV per atom. For the density of states at the Fermi level, the calculation gives 3.938 states/eV per cell. Its symmetry is P4/mmm (123).



The following is a DFT calculation (PBE) of a geometry-optimized LiAc2As structure.

POSCAR file:
```
LiAc2As
1.0
4.107 0.000 0.000
0.000 5.351 0.000
0.000 0.000 5.351
Li Ac As
1 2 1
Cartesian
2.053 2.675 2.675
0.000 2.675 0.000
0.000 0.000 2.675
2.053 0.000 0.000
```

The formation energy from the elements is -540 meV per atom. For the density of states at the Fermi level, the calculation gives 2.525 states/eV per cell. Its symmetry is P4/mmm (123).



The following is a DFT calculation (PBE) of a geometry-optimized K2Rb3Hg structure.

POSCAR file:
```
K2Rb3Hg
1.0
7.947 0.530 4.116
0.154 7.963 4.116
1.766 1.852 15.133
K Rb Hg
4 6 2
Cartesian
6.887 5.371 10.786
5.923 8.058 18.353
3.944 2.286 5.012
2.981 4.974 12.579
9.332 8.531 21.709
6.833 4.245 15.466
0.535 1.813 1.656
2.669 1.546 9.223
7.198 8.799 14.142
3.035 6.100 7.899
5.661 3.594 7.899
4.206 6.750 15.466
```

The formation energy from the elements is -49 meV per atom. For the density of states at the Fermi level, the calculation gives 9.473 states/eV per cell. Its symmetry is C2/c (15).



The following is a DFT calculation (PBE) of a geometry-optimized SrDyGaPd structure.

POSCAR file:
```
SrDyGaPd
1.0
5.184 0.000 0.000
2.592 4.490 0.000
2.592 1.497 4.233
Dy Sr Pd Ga
1 1 1 1
Cartesian
0.000 0.000 0.000
5.184 2.993 2.116
2.592 1.497 1.058
7.776 4.490 3.175
```

The formation energy from the elements is -484 meV per atom. For the density of states at the Fermi level, the calculation gives 2.952 states/eV per cell. Its symmetry is F-43m (216).



The following is a DFT calculation (PBE) of a geometry-optimized AcSmGe2Au2 structure.

POSCAR file:
```
AcSmGe2Au2
1.0
4.530 0.000 0.000
-2.265 3.923 0.000
0.000 0.000 8.195
Au Ac Ge Sm
2 1 2 1
Cartesian
0.000 2.616 2.286
2.265 1.308 5.910
0.000 0.000 0.000
2.265 1.308 2.127
0.000 2.616 6.069
0.000 0.000 4.098
```

The formation energy from the elements is -830 meV per atom. For the density of states at the Fermi level, the calculation gives 1.485 states/eV per cell. Its symmetry is P-3m1 (164).



The following is a DFT calculation (PBE) of a geometry-optimized BaNaAgSe2 structure.

POSCAR file:
```
BaNaAgSe2
1.0
5.910 0.000 0.000
0.000 6.289 0.000
0.000 -3.144 7.533
Se Ba Ag Na
4 2 2 2
Cartesian
4.406 3.144 2.018
1.504 0.000 2.018
4.406 3.144 5.515
1.504 0.000 5.515
1.414 3.144 3.767
4.496 0.000 3.767
0.000 0.000 0.000
0.000 3.144 0.000
2.955 4.716 0.000
2.955 1.572 0.000
```

The value obtained for the total energy is -37.26 eV for the cell shown. For the density of states at the Fermi level, the calculation gives 0.000 states/eV per cell. Its symmetry is Cmme (67).



Repeat the eleventh record exactly.
The following is a DFT calculation (PBE) of a geometry-optimized AcSmGe2Au2 structure.

POSCAR file:
```
AcSmGe2Au2
1.0
4.530 0.000 0.000
-2.265 3.923 0.000
0.000 0.000 8.195
Au Ac Ge Sm
2 1 2 1
Cartesian
0.000 2.616 2.286
2.265 1.308 5.910
0.000 0.000 0.000
2.265 1.308 2.127
0.000 2.616 6.069
0.000 0.000 4.098
```

The formation energy from the elements is -830 meV per atom. For the density of states at the Fermi level, the calculation gives 1.485 states/eV per cell. Its symmetry is P-3m1 (164).



Please write out number 2 again, unchanged.
The following is a DFT calculation (PBE) of a geometry-optimized CaAgC2 structure.

POSCAR file:
```
CaAgC2
1.0
4.100 0.000 0.000
0.000 4.100 0.000
2.050 2.050 7.483
Ag C Ca
2 4 2
Cartesian
0.000 0.000 0.000
4.100 2.050 3.741
5.125 2.049 5.612
4.100 3.075 1.871
4.099 1.025 1.871
3.075 2.051 5.612
2.050 4.100 3.741
2.050 2.050 0.000
```

The formation energy from the elements is 1456 meV per atom. For the density of states at the Fermi level, the calculation gives 4.129 states/eV per cell. Its symmetry is I4_1/amd (141).